No. 1
## Ac2PuC (GGA-PBE)

Data for a relaxed Ac2PuC crystal.

a = 10.8770 Å, b = 10.8770 Å, c = 10.8770 Å
α = 21.08°, β = 21.08°, γ = 21.08°
Atoms (fractional coordinates):
Ac 0.0738 0.0738 0.0738
Ac 0.9262 0.9262 0.9262
Pu 0.5000 0.5000 0.5000
C 0.0000 0.0000 0.0000

**DFT formation energy**: 1.225 eV/atom
**D(E_F)**: 13.567 states/eV per cell
**Calculated total energy**: -6.718 eV per atom

***

No. 2
## ThS2O8F (GGA-PBE)

Data for a relaxed ThS2O8F crystal.

a = 6.3324 Å, b = 6.3324 Å, c = 4.7342 Å
α = 90.07°, β = 90.07°, γ = 60.05°
Atoms (fractional coordinates):
Th 0.0000 0.0000 0.0000
S 0.3332 0.3332 0.7226
S 0.6668 0.6668 0.2774
O 0.2066 0.2066 0.8358
O 0.2070 0.5869 0.8338
O 0.3324 0.3324 0.4156
O 0.4131 0.7930 0.1662
O 0.5869 0.2070 0.8338
O 0.6676 0.6676 0.5844
O 0.7930 0.4131 0.1662
O 0.7934 0.7934 0.1642
F 0.0000 0.0000 0.5000

**E_form (uncorrected)**: -1.965 eV/atom
**D(E_F)**: 9.276 states/eV per cell
**Calculated total energy**: -6.733 eV per atom

***

Q: calculated total energy of number 1 (Ac2PuC)?
A: -6.718 eV per atom

***

Q: What is the formula in the second record?
A: ThS2O8F